Here is an optimized crystal structure of KBC2 from Alexandria via LeMat-Bulk. Energies are from PBE.

Cell and atoms, written as POSCAR:
```
KBC2
1.0
-1.938 3.668 1.322
-3.339 -2.324 1.551
-0.349 0.304 5.815
C B K
4 2 2
Direct
0.375 0.625 0.750
0.375 0.625 0.250
0.875 0.625 0.750
0.375 0.125 0.250
0.500 0.500 0.000
0.250 0.750 0.500
0.000 0.000 0.000
0.750 0.250 0.500
```

- ΔE_f (eV per atom) = 1.185
- raw total energy (eV for the cell shown) = -43.0
- calculated density (g cm⁻³) = 2.61